one.
Below is an optimized crystal structure of BaNb, with properties calculated at the GGA-PBE level.

Cell lengths 9.794, 9.794, 9.794 Å; angles 90.00, 90.00, 90.00 degrees
Space group Pm-3n (No. 223)
Inequivalent atoms, fractional coordinates:
Ba 0.000 0.250 0.500
Nb 0.000 0.500 0.250

## Properties
- crystal system = cubic

---

two.
Below is an optimized crystal structure of BaNb, with properties calculated at the GGA-PBE level.

Cell lengths 6.341, 6.752, 13.655 Å; angles 90.00, 90.00, 90.00 degrees
Space group P2_12_12_1 (No. 19)
Inequivalent atoms, fractional coordinates:
Ba 0.135 0.163 0.083
Ba 0.174 0.341 0.741
Nb 0.059 0.692 0.992
Nb 0.161 0.155 0.373

## Properties
- crystal system = orthorhombic

---

two ends up most stable, edging out the next structure by 168.3 kJ/mol of atoms.

---

one.
Below is an optimized crystal structure of Li2Ca2Cd, with properties calculated at the GGA-PBE level.

Cell lengths 7.463, 7.463, 4.991 Å; angles 90.00, 90.00, 90.00 degrees
Space group P4/mbm (No. 127)
Inequivalent atoms, fractional coordinates:
Li 0.130 0.370 0.000
Ca 0.184 0.684 0.500
Cd 0.000 0.000 0.000

## Properties
- crystal system = tetragonal

---

two.
Below is an optimized crystal structure of Li2Ca2Cd, with properties calculated at the GGA-PBE level.

Cell lengths 3.858, 3.858, 19.153 Å; angles 90.00, 90.00, 90.00 degrees
Space group I4/mmm (No. 139)
Inequivalent atoms, fractional coordinates:
Li 0.000 0.500 0.250
Ca 0.000 0.000 0.099
Cd 0.000 0.000 0.500

## Properties
- crystal system = tetragonal

---

one ends up most stable, edging out the next structure by 1.5 kJ/mol of atoms.

---

one.
Below is an optimized crystal structure of KRu2Pt, with properties calculated at the GGA-PBE level.

Cell lengths 2.708, 4.955, 10.724 Å; angles 90.00, 90.00, 90.00 degrees
Space group Immm (No. 71)
Inequivalent atoms, fractional coordinates:
K 0.000 0.000 0.000
Ru 0.000 0.500 0.216
Pt 0.000 0.000 0.500

## Properties
- crystal system = orthorhombic

---

two.
Below is an optimized crystal structure of KRu2Pt, with properties calculated at the GGA-PBE level.

Cell lengths 4.274, 4.274, 7.471 Å; angles 90.00, 90.00, 90.00 degrees
Space group I-4m2 (No. 119)
Inequivalent atoms, fractional coordinates:
K 0.000 0.000 0.000
Ru 0.000 0.000 0.500
Ru 0.000 0.500 0.250
Pt 0.000 0.500 0.750

## Properties
- crystal system = tetragonal

---

one ends up most stable, edging out the next structure by 38.7 kJ/mol of atoms.

---

one.
Below is an optimized crystal structure of RePb3, with properties calculated at the GGA-PBE level.

Cell lengths 5.226, 5.226, 3.647 Å; angles 90.00, 90.00, 90.00 degrees
Space group P4/mmm (No. 123)
Inequivalent atoms, fractional coordinates:
Re 0.000 0.000 0.000
Pb 0.000 0.500 0.500
Pb 0.500 0.500 0.000

## Properties
- crystal system = tetragonal

---

two.
Below is an optimized crystal structure of RePb3, with properties calculated at the GGA-PBE level.

Cell lengths 3.3394, 3.3394, 10.6530 Å; angles 90.00, 90.00, 120.00 degrees
Space group P-6m2 (No. 187)
Inequivalent atoms, fractional coordinates:
Re 0.0000 0.0000 0.0000
Pb 0.0000 0.0000 0.5000
Pb 0.3333 0.6667 0.2032

## Properties
- crystal system = hexagonal

---

two ends up most stable, edging out the next structure by 35.1 kJ/mol of atoms.

---

one.
Below is an optimized crystal structure of BeIn2AgSn, with properties calculated at the GGA-PBE level.

Cell lengths 4.938, 4.938, 4.757 Å; angles 90.00, 90.00, 90.00 degrees
Space group P4/mmm (No. 123)
Inequivalent atoms, fractional coordinates:
Be 0.000 0.000 0.000
In 0.000 0.500 0.000
Ag 0.000 0.000 0.500
Sn 0.500 0.500 0.500

## Properties
- crystal system = tetragonal

---

two.
Below is an optimized crystal structure of BeIn2AgSn, with properties calculated at the GGA-PBE level.

Cell lengths 5.299, 5.299, 5.370 Å; angles 90.00, 90.00, 90.00 degrees
Space group P4/mmm (No. 123)
Inequivalent atoms, fractional coordinates:
Be 0.000 0.000 0.000
In 0.000 0.500 0.500
Ag 0.500 0.500 0.500
Sn 0.500 0.500 0.000

## Properties
- crystal system = tetragonal

---

one ends up most stable, edging out the next structure by 47.1 kJ/mol of atoms.

---

one.
Below is an optimized crystal structure of MnCd2Re, with properties calculated at the GGA-PBE level.

Cell lengths 3.981, 3.981, 4.332 Å; angles 90.00, 90.00, 90.00 degrees
Space group P4/mmm (No. 123)
Inequivalent atoms, fractional coordinates:
Mn 0.000 0.000 0.000
Cd 0.000 0.500 0.500
Re 0.500 0.500 0.000

## Properties
- crystal system = tetragonal

---

two.
Below is an optimized crystal structure of MnCd2Re, with properties calculated at the GGA-PBE level.

Cell lengths 3.956, 3.956, 8.744 Å; angles 90.00, 90.00, 90.00 degrees
Space group I4/mmm (No. 139)
Inequivalent atoms, fractional coordinates:
Mn 0.000 0.000 0.000
Cd 0.000 0.500 0.250
Re 0.000 0.000 0.500

## Properties
- crystal system = tetragonal

---

one ends up most stable, edging out the next structure by 3.4 kJ/mol of atoms.

---

one.
Below is an optimized crystal structure of TcMo2Ru, with properties calculated at the GGA-PBE level.

Cell lengths 2.7660, 2.7660, 27.3101 Å; angles 90.00, 90.00, 120.00 degrees
Space group R-3m (No. 166, hexagonal axes)
Inequivalent atoms, fractional coordinates:
Tc 0.0000 0.0000 0.0000
Mo 0.0000 0.0000 0.2497
Ru 0.0000 0.0000 0.5000

## Properties
- crystal system = trigonal

---

two.
Below is an optimized crystal structure of TcMo2Ru, with properties calculated at the GGA-PBE level.

Cell lengths 5.454, 8.711, 2.711 Å; angles 90.00, 109.77, 90.00 degrees
Space group C2/m (No. 12)
Inequivalent atoms, fractional coordinates:
Tc 0.000 0.000 0.000
Mo 0.250 0.250 0.500
Ru 0.000 0.500 0.000

## Properties
- crystal system = monoclinic

---

one ends up most stable, edging out the next structure by 0.7 kJ/mol of atoms.